# 1
Material: KCuRh3
Method: DFT, PBE
State: optimized geometry

The calculation puts the formation energy at 1.0671 eV per atom.

a b c (Å): 4.690 4.690 4.690
angles (deg): 90.00 90.00 90.00
Each line ends with the local moment (μB).
Sites, in units of the cell vectors:
K1 0.500 0.500 0.500  -0.01
Rh1 0.000 0.500 0.000  0.79
Rh2 0.000 0.000 0.500  1.02
Rh3 0.500 0.000 0.000  0.53
Cu1 0.000 0.000 0.000  0.12



# 2
Material: Nd5TmBi5
Method: DFT, PBE
State: optimized geometry

The calculation puts the formation energy at -0.7299 eV per atom.

a b c (Å): 6.430 7.853 9.051
angles (deg): 107.04 90.00 114.17
Sites, in units of the cell vectors:
Nd1 0.670 0.341 0.334
Nd2 0.663 0.325 0.827
Nd3 0.000 0.000 0.500
Nd4 0.337 0.675 0.173
Nd5 0.330 0.659 0.666
Tm1 0.000 0.000 0.000
Bi1 0.834 0.669 0.162
Bi2 0.836 0.673 0.672
Bi3 0.500 0.000 0.000
Bi4 0.164 0.327 0.328
Bi5 0.166 0.331 0.838



# 3
Material: MgCo3
Method: DFT, PBE
State: optimized geometry

The calculation puts the formation energy at 0.1082 eV per atom.

a b c (Å): 2.868 2.868 6.115
angles (deg): 90.00 90.00 90.02
Each line ends with the local moment (μB).
Sites, in units of the cell vectors:
Co1 0.000 0.000 0.966  1.44
Co2 0.500 0.500 0.750  1.85
Co3 0.000 0.000 0.534  1.44
Mg1 0.500 0.500 0.250  -0.03



no.,density of states at the Fermi level (states/eV/f.u.)
1,9.1
2,6.4
3,3.4